Entry from Alexandria: a geometry-optimized LiMn3F structure (GGA+U).

Unit cell a=4.5676 b=4.5676 c=4.5676 alpha=90.00 beta=90.00 gamma=90.00
Space group Pm-3m (No. 221)
Unique sites:
Li 0.0000 0.0000 0.0000
Mn 0.0000 0.5000 0.5000
F 0.5000 0.5000 0.5000

Values from the calculation:
* calculated volume: 95.3 Å³ per cell
* uncorrected energy: -26.1 eV per cell
* total moment: 2.8083 μB/atom
* relative energy among the computed polymorphs: 0 meV per atom